--- 1 ---
{"formula": "ZrSiPCl2", "functional": "GGA-PBE", "state": "relaxed", "m_tot_mub_per_cell": 1.5, "cell": [[-0.8241, -0.1370, 4.5040], [2.1104, -4.0572, 0.2627], [4.2433, 2.2620, 0.8452]], "species": ["Cl", "Cl", "Zr", "Si", "P"], "frac_coords": [[0.5000, 0.0000, 0.0000], [0.0000, 0.5000, 0.0000], [0.5000, 0.5000, 0.5000], [0.0000, 0.0000, 0.0000], [0.0000, 0.0000, 0.5000]]}

--- 2 ---
{"formula": "ZrSiPCl2", "functional": "GGA-PBE", "state": "relaxed", "m_tot_mub_per_cell": 0.8, "cell": [[4.9235, 0.0000, 0.0000], [0.0000, 4.9235, 0.0000], [0.0000, 0.0000, 5.2708]], "species": ["Si", "Zr", "Cl", "Cl", "P"], "frac_coords": [[0.5000, 0.5000, 0.5000], [0.0000, 0.0000, 0.0000], [0.0000, 0.5000, 0.0000], [0.5000, 0.0000, 0.0000], [0.0000, 0.0000, 0.5000]]}

The least stable of them is 1.

--- 1 ---
{"formula": "Sn2P2Cl", "functional": "GGA-PBE", "state": "relaxed", "m_tot_mub_per_cell": 0.0, "cell": [[5.2662, 0.0000, 0.0000], [0.0000, 5.2662, 0.0000], [2.6331, 2.6331, 4.2752]], "species": ["Sn", "Sn", "Cl", "P", "P"], "frac_coords": [[0.2500, 0.7500, 0.5000], [0.7500, 0.2500, 0.5000], [0.0000, 0.0000, 0.0000], [0.6249, 0.6249, 0.7501], [0.3751, 0.3751, 0.2499]]}

--- 2 ---
{"formula": "Sn2P2Cl", "functional": "GGA-PBE", "state": "relaxed", "m_tot_mub_per_cell": 0.0, "cell": [[3.9763, 0.0000, 0.0000], [0.0000, 3.9763, 0.0000], [1.9882, 1.9882, 7.6068]], "species": ["Cl", "Sn", "Sn", "P", "P"], "frac_coords": [[0.0000, 0.0000, 0.0000], [0.6173, 0.6173, 0.7653], [0.3827, 0.3827, 0.2347], [0.7500, 0.2500, 0.5000], [0.2500, 0.7500, 0.5000]]}

--- 3 ---
{"formula": "Sn2P2Cl", "functional": "GGA-PBE", "state": "relaxed", "m_tot_mub_per_cell": 0.0, "cell": [[7.8526, 0.0000, 0.0000], [0.0000, 7.8526, 0.0000], [0.0000, 0.0000, 3.4804]], "species": ["Sn", "Sn", "Sn", "Sn", "P", "P", "P", "P", "Cl", "Cl"], "frac_coords": [[0.6555, 0.8445, 0.5000], [0.8445, 0.3445, 0.5000], [0.1555, 0.6555, 0.5000], [0.3445, 0.1555, 0.5000], [0.1420, 0.3580, 0.0000], [0.6420, 0.1420, 0.0000], [0.8580, 0.6420, 0.0000], [0.3580, 0.8580, 0.0000], [0.5000, 0.5000, 0.0000], [0.0000, 0.0000, 0.0000]]}

--- 4 ---
{"formula": "Sn2P2Cl", "functional": "GGA-PBE", "state": "relaxed", "m_tot_mub_per_cell": 0.0, "cell": [[7.7565, 0.0000, 0.0000], [0.0000, 7.7565, 0.0000], [0.0000, 0.0000, 3.5385]], "species": ["P", "P", "P", "P", "Cl", "Cl", "Sn", "Sn", "Sn", "Sn"], "frac_coords": [[0.8668, 0.3668, 0.5000], [0.1332, 0.6332, 0.5000], [0.6332, 0.8668, 0.5000], [0.3668, 0.1332, 0.5000], [0.0000, 0.0000, 0.0000], [0.5000, 0.5000, 0.0000], [0.3365, 0.8365, 0.0000], [0.8365, 0.6635, 0.0000], [0.1635, 0.3365, 0.0000], [0.6635, 0.1635, 0.0000]]}

The least stable of them is 3.

--- 1 ---
{"formula": "SnP3Cl", "functional": "GGA-PBE", "state": "relaxed", "m_tot_mub_per_cell": 0.0, "cell": [[5.0933, 0.0000, 0.0000], [0.0000, 5.0933, 0.0000], [0.0000, 0.0000, 5.0933]], "species": ["P", "P", "P", "Cl", "Sn"], "frac_coords": [[0.0000, 0.5000, 0.0000], [0.0000, 0.0000, 0.5000], [0.5000, 0.0000, 0.0000], [0.5000, 0.5000, 0.5000], [0.0000, 0.0000, 0.0000]]}

--- 2 ---
{"formula": "SnP3Cl", "functional": "GGA-PBE", "state": "relaxed", "m_tot_mub_per_cell": 0.0, "cell": [[-2.2321, -4.0247, 0.9932], [1.3501, -1.7723, -4.1476], [3.9194, -1.6815, 1.9944]], "species": ["P", "P", "P", "Sn", "Cl"], "frac_coords": [[0.5000, 0.0000, 0.0000], [0.0000, 0.0000, 0.5000], [0.0000, 0.5000, 0.0000], [0.5000, 0.5000, 0.5000], [0.0000, 0.0000, 0.0000]]}

The least stable of them is 1.

--- 1 ---
{"formula": "SrSnPCl2", "functional": "GGA-PBE", "state": "relaxed", "m_tot_mub_per_cell": 0.0, "cell": [[5.3402, 0.0000, 0.0000], [0.0000, 5.3402, 0.0000], [0.0000, 0.0000, 5.1580]], "species": ["P", "Cl", "Cl", "Sr", "Sn"], "frac_coords": [[0.0000, 0.0000, 0.5000], [0.5000, 0.0000, 0.0000], [0.0000, 0.5000, 0.0000], [0.5000, 0.5000, 0.5000], [0.0000, 0.0000, 0.0000]]}

--- 2 ---
{"formula": "SrSnPCl2", "functional": "GGA-PBE", "state": "relaxed", "m_tot_mub_per_cell": 1.0, "cell": [[-2.8165, 3.9965, -2.1688], [-4.5354, -2.2865, 1.6764], [0.3737, 3.1247, 5.2728]], "species": ["Sr", "P", "Cl", "Cl", "Sn"], "frac_coords": [[0.0000, 0.0000, 0.0000], [0.0000, 0.0000, 0.5000], [0.5000, 0.0000, 0.0000], [0.0000, 0.5000, 0.0000], [0.5000, 0.5000, 0.5000]]}

The least stable of them is 2.

--- 1 ---
{"formula": "TcSnPCl2", "functional": "GGA-PBE", "state": "relaxed", "m_tot_mub_per_cell": 4.9, "cell": [[5.1240, 0.0000, 0.0000], [0.0000, 5.1240, 0.0000], [0.0000, 0.0000, 5.2692]], "species": ["Sn", "Cl", "Cl", "P", "Tc"], "frac_coords": [[0.0000, 0.0000, 0.0000], [0.0000, 0.5000, 0.0000], [0.5000, 0.0000, 0.0000], [0.0000, 0.0000, 0.5000], [0.5000, 0.5000, 0.5000]]}

--- 2 ---
{"formula": "TcSnPCl2", "functional": "GGA-PBE", "state": "relaxed", "m_tot_mub_per_cell": 0.8, "cell": [[-0.1292, 3.7264, -3.2028], [-4.7544, 0.7143, 1.0228], [1.1713, 2.9499, 3.3849]], "species": ["Cl", "Cl", "P", "Sn", "Tc"], "frac_coords": [[0.5000, 0.0000, 0.0000], [0.0000, 0.5000, 0.0000], [0.0000, 0.0000, 0.5000], [0.5000, 0.5000, 0.5000], [0.0000, 0.0000, 0.0000]]}

The least stable of them is 1.

--- 1 ---
{"formula": "TcSnP2Cl", "functional": "GGA-PBE", "state": "relaxed", "m_tot_mub_per_cell": 0.0, "cell": [[4.5915, 0.0000, 0.0000], [0.0000, 4.5915, 0.0000], [0.0000, 0.0000, 5.1519]], "species": ["P", "P", "Tc", "Cl", "Sn"], "frac_coords": [[0.5000, 0.0000, 0.0000], [0.0000, 0.5000, 0.0000], [0.0000, 0.0000, 0.0000], [0.0000, 0.0000, 0.5000], [0.5000, 0.5000, 0.5000]]}

--- 2 ---
{"formula": "TcSnP2Cl", "functional": "GGA-PBE", "state": "relaxed", "m_tot_mub_per_cell": 4.1, "cell": [[-2.5899, 2.0899, 3.7964], [-4.0630, 0.3675, -2.9741], [-1.4975, -4.5506, 1.4835]], "species": ["P", "P", "Sn", "Cl", "Tc"], "frac_coords": [[0.0000, 0.5000, 0.0000], [0.5000, 0.0000, 0.0000], [0.0000, 0.0000, 0.0000], [0.0000, 0.0000, 0.5000], [0.5000, 0.5000, 0.5000]]}

The least stable of them is 2.

--- 1 ---
{"formula": "TiSnPCl2", "functional": "GGA-PBE", "state": "relaxed", "m_tot_mub_per_cell": 2.1, "cell": [[5.1521, 0.0000, 0.0000], [0.0000, 5.1521, 0.0000], [0.0000, 0.0000, 5.1987]], "species": ["Cl", "Cl", "Sn", "P", "Ti"], "frac_coords": [[0.0000, 0.5000, 0.0000], [0.5000, 0.0000, 0.0000], [0.0000, 0.0000, 0.0000], [0.0000, 0.0000, 0.5000], [0.5000, 0.5000, 0.5000]]}

--- 2 ---
{"formula": "TiSnPCl2", "functional": "GGA-PBE", "state": "relaxed", "m_tot_mub_per_cell": 0.2, "cell": [[-1.8247, 4.3342, -0.2851], [-4.0401, -1.5800, 1.8376], [1.7208, 1.0317, 4.6703]], "species": ["P", "Cl", "Cl", "Ti", "Sn"], "frac_coords": [[0.0000, 0.0000, 0.5000], [0.0000, 0.5000, 0.0000], [0.5000, 0.0000, 0.0000], [0.0000, 0.0000, 0.0000], [0.5000, 0.5000, 0.5000]]}

The least stable of them is 1.

--- 1 ---
{"formula": "TiSnP2Cl", "functional": "GGA-PBE", "state": "relaxed", "m_tot_mub_per_cell": 0.0, "cell": [[-3.4280, 2.9061, -1.7013], [-3.3142, -2.4817, 2.4388], [0.5931, 2.8978, 3.7548]], "species": ["Ti", "P", "P", "Sn", "Cl"], "frac_coords": [[0.0000, 0.0000, 0.0000], [0.5000, 0.0000, 0.0000], [0.0000, 0.5000, 0.0000], [0.5000, 0.5000, 0.5000], [0.0000, 0.0000, 0.5000]]}

--- 2 ---
{"formula": "TiSnP2Cl", "functional": "GGA-PBE", "state": "relaxed", "m_tot_mub_per_cell": 0.1, "cell": [[-1.1572, -2.4179, -4.2373], [-3.2409, -2.8741, 2.5251], [-3.6092, 3.2876, -0.8904]], "species": ["Sn", "Ti", "Cl", "P", "P"], "frac_coords": [[0.0000, 0.0000, 0.0000], [0.5000, 0.5000, 0.5000], [0.0000, 0.0000, 0.5000], [0.0000, 0.5000, 0.0000], [0.5000, 0.0000, 0.0000]]}

The least stable of them is 2.

--- 1 ---
{"formula": "TlSnP2Cl", "functional": "GGA-PBE", "state": "relaxed", "m_tot_mub_per_cell": 1.2, "cell": [[5.1091, 0.0000, 0.0000], [0.0000, 5.1091, 0.0000], [0.0000, 0.0000, 5.5291]], "species": ["Sn", "P", "P", "Cl", "Tl"], "frac_coords": [[0.0000, 0.0000, 0.0000], [0.5000, 0.0000, 0.0000], [0.0000, 0.5000, 0.0000], [0.0000, 0.0000, 0.5000], [0.5000, 0.5000, 0.5000]]}

--- 2 ---
{"formula": "TlSnP2Cl", "functional": "GGA-PBE", "state": "relaxed", "m_tot_mub_per_cell": 0.0, "cell": [[5.1079, 0.0000, 0.0000], [0.0000, 5.1079, 0.0000], [0.0000, 0.0000, 5.3539]], "species": ["Cl", "P", "P", "Sn", "Tl"], "frac_coords": [[0.0000, 0.0000, 0.5000], [0.5000, 0.0000, 0.0000], [0.0000, 0.5000, 0.0000], [0.5000, 0.5000, 0.5000], [0.0000, 0.0000, 0.0000]]}

The least stable of them is 2.

--- 1 ---
{"formula": "VSnPCl2", "functional": "GGA-PBE", "state": "relaxed", "m_tot_mub_per_cell": 2.0, "cell": [[4.7297, 0.0000, 0.0000], [0.0000, 4.7297, 0.0000], [0.0000, 0.0000, 4.9619]], "species": ["Cl", "Cl", "P", "V", "Sn"], "frac_coords": [[0.5000, 0.0000, 0.0000], [0.0000, 0.5000, 0.0000], [0.0000, 0.0000, 0.5000], [0.0000, 0.0000, 0.0000], [0.5000, 0.5000, 0.5000]]}

--- 2 ---
{"formula": "VSnPCl2", "functional": "GGA-PBE", "state": "relaxed", "m_tot_mub_per_cell": 3.1, "cell": [[-4.5748, 2.3220, -0.3142], [-0.8591, -1.0209, 4.9637], [2.2144, 4.5410, 1.3173]], "species": ["Sn", "Cl", "Cl", "P", "V"], "frac_coords": [[0.0000, 0.0000, 0.0000], [0.0000, 0.5000, 0.0000], [0.5000, 0.0000, 0.0000], [0.0000, 0.0000, 0.5000], [0.5000, 0.5000, 0.5000]]}

The least stable of them is 2.

--- 1 ---
{"formula": "SnP2WCl", "functional": "GGA-PBE", "state": "relaxed", "m_tot_mub_per_cell": 0.0, "cell": [[4.7121, 0.0000, 0.0000], [0.0000, 4.7121, 0.0000], [0.0000, 0.0000, 5.0225]], "species": ["W", "P", "P", "Cl", "Sn"], "frac_coords": [[0.0000, 0.0000, 0.0000], [0.0000, 0.5000, 0.0000], [0.5000, 0.0000, 0.0000], [0.0000, 0.0000, 0.5000], [0.5000, 0.5000, 0.5000]]}

--- 2 ---
{"formula": "SnP2WCl", "functional": "GGA-PBE", "state": "relaxed", "m_tot_mub_per_cell": 0.0, "cell": [[4.8370, 0.0000, 0.0000], [0.0000, 4.3953, 0.0000], [0.0000, 0.0000, 4.8370]], "species": ["Cl", "W", "P", "P", "Sn"], "frac_coords": [[0.0000, 0.0000, 0.0000], [0.0000, 0.5000, 0.0000], [0.0000, 0.0000, 0.5000], [0.5000, 0.0000, 0.0000], [0.5000, 0.5000, 0.5000]]}

The least stable of them is 2.

--- 1 ---
{"formula": "YSnP2Cl", "functional": "GGA-PBE", "state": "relaxed", "m_tot_mub_per_cell": 0.0, "cell": [[-1.5611, -0.6499, 5.0511], [-3.3922, -3.8079, -1.5383], [3.6525, -3.5264, 0.6751]], "species": ["P", "P", "Sn", "Cl", "Y"], "frac_coords": [[0.0000, 0.5000, 0.0000], [0.5000, 0.0000, 0.0000], [0.5000, 0.5000, 0.5000], [0.0000, 0.0000, 0.5000], [0.0000, 0.0000, 0.0000]]}

--- 2 ---
{"formula": "YSnP2Cl", "functional": "GGA-PBE", "state": "relaxed", "m_tot_mub_per_cell": 0.0, "cell": [[5.0404, 0.0000, 0.0000], [0.0000, 5.0404, 0.0000], [0.0000, 0.0000, 4.9945]], "species": ["Sn", "Cl", "Y", "P", "P"], "frac_coords": [[0.0000, 0.0000, 0.0000], [0.0000, 0.0000, 0.5000], [0.5000, 0.5000, 0.5000], [0.5000, 0.0000, 0.0000], [0.0000, 0.5000, 0.0000]]}

The least stable of them is 2.

--- 1 ---
{"formula": "YSnPCl2", "functional": "GGA-PBE", "state": "relaxed", "m_tot_mub_per_cell": 0.5, "cell": [[5.1240, 0.0000, 0.0000], [0.0000, 5.1240, 0.0000], [0.0000, 0.0000, 5.3512]], "species": ["Cl", "Cl", "P", "Sn", "Y"], "frac_coords": [[0.5000, 0.0000, 0.0000], [0.0000, 0.5000, 0.0000], [0.0000, 0.0000, 0.5000], [0.0000, 0.0000, 0.0000], [0.5000, 0.5000, 0.5000]]}

--- 2 ---
{"formula": "YSnPCl2", "functional": "GGA-PBE", "state": "relaxed", "m_tot_mub_per_cell": 0.0, "cell": [[5.1164, 0.0000, 0.0000], [0.0000, 5.1164, 0.0000], [0.0000, 0.0000, 5.6477]], "species": ["Sn", "Cl", "Cl", "P", "Y"], "frac_coords": [[0.5000, 0.5000, 0.5000], [0.0000, 0.5000, 0.0000], [0.5000, 0.0000, 0.0000], [0.0000, 0.0000, 0.5000], [0.0000, 0.0000, 0.0000]]}

The least stable of them is 1.